1.
A plane-wave DFT calculation with PBE-GGA was carried out for a relaxed structure of CsSmTe3Pd.

Results
E_tot	-4.3588	eV/atom
crystal system	orthorhombic

```
12
Lattice="2.2579 -9.3782 0.0000 2.2579 9.3782 0.0000 0.0000 0.0000 10.3024" Properties=species:S:1:pos:R:3 pbc="T T T"
Cs 2.2579 4.6812 2.5756
Cs 2.2579 -4.6812 7.7268
Pd 2.2579 9.3010 2.5756
Pd 2.2579 -9.3010 7.7268
Sm 2.2579 0.0000 0.0000
Sm 2.2579 0.0000 5.1512
Te 2.2579 -7.3615 0.9268
Te 2.2579 -1.7021 2.5756
Te 2.2579 -7.3615 4.2244
Te 2.2579 7.3615 6.0781
Te 2.2579 1.7021 7.7268
Te 2.2579 7.3615 9.3756
```

***

2.
A plane-wave DFT calculation with PBE-GGA was carried out for a relaxed structure of KBaHfAu.

Results
E_tot	-3.4546	eV/atom
crystal system	cubic

```
4
Lattice="0.0000 3.8971 3.8971 3.8971 0.0000 3.8971 3.8971 3.8971 0.0000" Properties=species:S:1:pos:R:3 pbc="T T T"
Au 5.8457 5.8457 5.8457
Ba 0.0000 0.0000 0.0000
Hf 3.8971 3.8971 3.8971
K 1.9486 1.9486 1.9486
```

***

3.
A plane-wave DFT calculation with PBE-GGA was carried out for a relaxed structure of TbScFe2Ge2C.

Results
E_tot	-7.1509	eV/atom
crystal system	monoclinic

```
7
Lattice="5.2604 -1.9537 0.0000 5.2604 1.9537 0.0000 -4.1209 0.0000 5.2582" Properties=species:S:1:pos:R:3 pbc="T T T"
C -0.0127 0.0000 0.0707
Fe 1.7097 0.0000 0.4849
Fe 4.7015 0.0000 4.7874
Ge 7.6142 0.0000 1.5473
Ge -1.2078 0.0000 3.6713
Sc 4.6760 0.0000 1.4747
Tb 1.7184 0.0000 3.7385
```